Entry one
Material: SrSbBr2
Method: DFT, SCAN
State: single point on PBEsol structure

It has space group Immm (No. 71), with a = 3.668 Å, b = 6.289 Å, c = 9.993 Å, α = 90.00°, β = 90.00° and γ = 90.00°. Symmetry generates all atoms from Sr at (0.000, 0.000, 0.000), Sb at (0.000, 0.000, 0.500) and Br at (0.000, 0.500, 0.253).

Entry two
Material: SrSbBr2
Method: DFT, SCAN
State: single point on PBEsol structure

It has space group P4/mmm (No. 123), with a = 4.993 Å, b = 4.993 Å, c = 4.437 Å, α = 90.00°, β = 90.00° and γ = 90.00°. Symmetry generates all atoms from Sr at (0.000, 0.000, 0.000), Sb at (0.500, 0.500, 0.000) and Br at (0.000, 0.500, 0.500).

List of relative energies, unit eV/atom: entry one 0.000; entry two 0.095

Entry one
Material: TaSb2Br2
Method: DFT, SCAN
State: single point on PBEsol structure

It has space group P4/mbm (No. 127), with a = 8.691 Å, b = 8.691 Å, c = 3.162 Å, α = 90.00°, β = 90.00° and γ = 90.00°. Symmetry generates all atoms from Ta at (0.000, 0.000, 0.000), Sb at (0.190, 0.310, 0.500) and Br at (0.122, 0.622, 0.000).

Entry two
Material: TaSb2Br2
Method: DFT, SCAN
State: single point on PBEsol structure

It has space group I4/mmm (No. 139), with a = 3.754 Å, b = 3.754 Å, c = 20.356 Å, α = 90.00°, β = 90.00° and γ = 90.00°. Symmetry generates all atoms from Ta at (0.000, 0.000, 0.000), Sb at (0.000, 0.500, 0.250) and Br at (0.000, 0.000, 0.425).

List of relative energies, unit eV/atom: entry one 0.158; entry two 0.000

Entry one
Material: TaSb2Br
Method: DFT, SCAN
State: single point on PBEsol structure

It has space group Amm2 (No. 38), with a = 3.514 Å, b = 3.630 Å, c = 15.769 Å, α = 90.00°, β = 90.00° and γ = 90.00°. Symmetry generates all atoms from Ta at (0.000, 0.000, 0.000), Sb at (0.000, 0.000, 0.193), Sb at (0.500, 0.000, 0.577) and Br at (0.500, 0.000, 0.877).

Entry two
Material: TaSb2Br
Method: DFT, SCAN
State: single point on PBEsol structure

It has space group Immm (No. 71), with a = 3.101 Å, b = 4.982 Å, c = 12.470 Å, α = 90.00°, β = 90.00° and γ = 90.00°. Symmetry generates all atoms from Ta at (0.000, 0.000, 0.000), Sb at (0.000, 0.500, 0.304) and Br at (0.000, 0.000, 0.500).

Entry three
Material: TaSb2Br
Method: DFT, SCAN
State: single point on PBEsol structure

It has space group Fm-3m (No. 225), with a = 7.085 Å, b = 7.085 Å, c = 7.085 Å, α = 90.00°, β = 90.00° and γ = 90.00°. Symmetry generates all atoms from Ta at (0.000, 0.000, 0.000), Sb at (0.250, 0.250, 0.250) and Br at (0.000, 0.000, 0.500).

List of relative energies, unit eV/atom: entry one 0.000; entry two 0.392; entry three 0.761

Entry one
Material: TcSb2Br
Method: DFT, SCAN
State: single point on PBEsol structure

It has space group P4/mmm (No. 123), with a = 3.290 Å, b = 3.290 Å, c = 7.866 Å, α = 90.00°, β = 90.00° and γ = 90.00°. Symmetry generates all atoms from Tc at (0.000, 0.000, 0.000), Sb at (0.500, 0.500, 0.201) and Br at (0.000, 0.000, 0.500).

Entry two
Material: TcSb2Br
Method: DFT, SCAN
State: single point on PBEsol structure

It has space group P4mm (No. 99), with a = 3.447 Å, b = 3.447 Å, c = 7.571 Å, α = 90.00°, β = 90.00° and γ = 90.00°. Symmetry generates all atoms from Tc at (0.000, 0.000, 0.000), Sb at (0.000, 0.000, 0.607), Sb at (0.500, 0.500, 0.853) and Br at (0.500, 0.500, 0.254).

List of relative energies, unit eV/atom: entry one 0.000; entry two 0.331

Entry one
Material: Sb2TeBr
Method: DFT, SCAN
State: single point on PBEsol structure

It has space group C2/m (No. 12), with a = 10.025 Å, b = 3.981 Å, c = 7.187 Å, α = 90.00°, β = 116.96° and γ = 90.00°. Symmetry generates all atoms from Sb at (0.228, 0.000, 0.325), Te at (0.000, 0.000, 0.500) and Br at (0.000, 0.500, 0.000).

Entry two
Material: Sb2TeBr
Method: DFT, SCAN
State: single point on PBEsol structure

It has space group Cmmm (No. 65), with a = 7.801 Å, b = 9.315 Å, c = 3.224 Å, α = 90.00°, β = 90.00° and γ = 90.00°. Symmetry generates all atoms from Sb at (0.250, 0.250, 0.000), Te at (0.000, 0.000, 0.000) and Br at (0.000, 0.500, 0.000).

List of relative energies, unit eV/atom: entry one 0.000; entry two 0.069

Entry one
Material: Sb2WBr
Method: DFT, SCAN
State: single point on PBEsol structure

It has space group Pmmm (No. 47), with a = 3.229 Å, b = 4.968 Å, c = 5.228 Å, α = 90.00°, β = 90.00° and γ = 90.00°. Symmetry generates all atoms from Sb at (0.000, 0.000, 0.000), Sb at (0.500, 0.000, 0.500), W at (0.000, 0.500, 0.500) and Br at (0.500, 0.500, 0.000).

Entry two
Material: Sb2WBr
Method: DFT, SCAN
State: single point on PBEsol structure

It has space group P4/mmm (No. 123), with a = 4.180 Å, b = 4.180 Å, c = 5.149 Å, α = 90.00°, β = 90.00° and γ = 90.00°. Symmetry generates all atoms from Sb at (0.000, 0.500, 0.000), W at (0.000, 0.000, 0.500) and Br at (0.500, 0.500, 0.500).

List of relative energies, unit eV/atom: entry one 0.000; entry two 0.064

Entry one
Material: Sb2WBr
Method: DFT, SCAN
State: single point on PBEsol structure

It has space group P4mm (No. 99), with a = 3.444 Å, b = 3.444 Å, c = 7.604 Å, α = 90.00°, β = 90.00° and γ = 90.00°. Symmetry generates all atoms from Sb at (0.000, 0.000, 0.000), Sb at (0.500, 0.500, 0.239), W at (0.000, 0.000, 0.410) and Br at (0.500, 0.500, 0.647).

Entry two
Material: Sb2WBr
Method: DFT, SCAN
State: single point on PBEsol structure

It has space group I4/mmm (No. 139), with a = 4.531 Å, b = 4.531 Å, c = 8.036 Å, α = 90.00°, β = 90.00° and γ = 90.00°. Symmetry generates all atoms from Sb at (0.000, 0.500, 0.250), W at (0.000, 0.000, 0.000) and Br at (0.000, 0.000, 0.500).

List of relative energies, unit eV/atom: entry one 0.000; entry two 0.347

Entry one
Material: SbWBr2
Method: DFT, SCAN
State: single point on PBEsol structure

It has space group I-4m2 (No. 119), with a = 4.668 Å, b = 4.668 Å, c = 7.474 Å, α = 90.00°, β = 90.00° and γ = 90.00°. Symmetry generates all atoms from Sb at (0.000, 0.000, 0.000), W at (0.000, 0.500, 0.250), Br at (0.000, 0.000, 0.500) and Br at (0.000, 0.500, 0.750).

Entry two
Material: SbWBr2
Method: DFT, SCAN
State: single point on PBEsol structure

It has space group Cmmm (No. 65), with a = 6.217 Å, b = 8.680 Å, c = 3.060 Å, α = 90.00°, β = 90.00° and γ = 90.00°. Symmetry generates all atoms from Sb at (0.000, 0.000, 0.000), W at (0.000, 0.500, 0.000) and Br at (0.250, 0.250, 0.500).

Entry three
Material: SbWBr2
Method: DFT, SCAN
State: single point on PBEsol structure

It has space group I4/mmm (No. 139), with a = 4.822 Å, b = 4.822 Å, c = 6.810 Å, α = 90.00°, β = 90.00° and γ = 90.00°. Symmetry generates all atoms from Sb at (0.000, 0.000, 0.000), W at (0.000, 0.000, 0.500) and Br at (0.000, 0.500, 0.250).

List of relative energies, unit eV/atom: entry one 0.000; entry two 0.266; entry three 0.346

Entry one
Material: ZnSb2Br
Method: DFT, SCAN
State: single point on PBEsol structure

It has space group F-43m (No. 216), with a = 7.224 Å, b = 7.224 Å, c = 7.224 Å, α = 90.00°, β = 90.00° and γ = 90.00°. Symmetry generates all atoms from Zn at (0.000, 0.000, 0.000), Sb at (0.000, 0.000, 0.500), Sb at (0.250, 0.250, 0.250) and Br at (0.250, 0.250, 0.750).

Entry two
Material: ZnSb2Br
Method: DFT, SCAN
State: single point on PBEsol structure

It has space group Fm-3m (No. 225), with a = 7.161 Å, b = 7.161 Å, c = 7.161 Å, α = 90.00°, β = 90.00° and γ = 90.00°. Symmetry generates all atoms from Zn at (0.000, 0.000, 0.000), Sb at (0.250, 0.250, 0.250) and Br at (0.000, 0.000, 0.500).

Entry three
Material: ZnSb2Br
Method: DFT, SCAN
State: single point on PBEsol structure

It has space group Imm2 (No. 44), with a = 3.352 Å, b = 5.039 Å, c = 11.409 Å, α = 90.00°, β = 90.00° and γ = 90.00°. Symmetry generates all atoms from Zn at (0.000, 0.000, 0.000), Sb at (0.000, 0.000, 0.555), Sb at (0.000, 0.500, 0.289) and Br at (0.000, 0.500, 0.777).

Entry four
Material: ZnSb2Br
Method: DFT, SCAN
State: single point on PBEsol structure

It has space group P4/mmm (No. 123), with a = 4.288 Å, b = 4.288 Å, c = 5.712 Å, α = 90.00°, β = 90.00° and γ = 90.00°. Symmetry generates all atoms from Zn at (0.000, 0.000, 0.000), Sb at (0.000, 0.000, 0.500), Sb at (0.500, 0.500, 0.500) and Br at (0.500, 0.500, 0.000).

List of relative energies, unit eV/atom: entry one 0.236; entry two 0.373; entry three 0.225; entry four 0.000

Entry one
Material: Zn2SbBr
Method: DFT, SCAN
State: single point on PBEsol structure

It has space group I-42d (No. 122), with a = 5.949 Å, b = 5.949 Å, c = 12.474 Å, α = 90.00°, β = 90.00° and γ = 90.00°. Symmetry generates all atoms from Zn at (0.227, 0.250, 0.125), Sb at (0.000, 0.000, 0.000) and Br at (0.000, 0.000, 0.500).

Entry two
Material: Zn2SbBr
Method: DFT, SCAN
State: single point on PBEsol structure

It has space group Pmmm (No. 47), with a = 3.516 Å, b = 4.462 Å, c = 5.466 Å, α = 90.00°, β = 90.00° and γ = 90.00°. Symmetry generates all atoms from Zn at (0.000, 0.000, 0.000), Zn at (0.500, 0.500, 0.500), Sb at (0.000, 0.000, 0.500) and Br at (0.500, 0.500, 0.000).

List of relative energies, unit eV/atom: entry one 0.000; entry two 0.164

Entry one
Material: ScSe2Br
Method: DFT, SCAN
State: single point on PBEsol structure

It has space group R3m (No. 160, hexagonal axes), with a = 3.5460 Å, b = 3.5460 Å, c = 26.9087 Å, α = 90.00°, β = 90.00° and γ = 120.00°. Symmetry generates all atoms from Sc at (0.0000, 0.0000, 0.0000), Se at (0.0000, 0.0000, 0.2747), Se at (0.0000, 0.0000, 0.5146) and Br at (0.0000, 0.0000, 0.7319).

Entry two
Material: ScSe2Br
Method: DFT, SCAN
State: single point on PBEsol structure

It has space group Cmm2 (No. 35), with a = 4.471 Å, b = 4.554 Å, c = 9.625 Å, α = 90.00°, β = 90.00° and γ = 90.00°. Symmetry generates all atoms from Sc at (0.000, 0.000, 0.000), Se at (0.000, 0.000, 0.475), Se at (0.000, 0.500, 0.155) and Br at (0.000, 0.500, 0.813).

List of relative energies, unit eV/atom: entry one 0.000; entry two 0.114

Entry one
Material: ScSi2Br
Method: DFT, SCAN
State: single point on PBEsol structure

It has space group C2/m (No. 12), with a = 9.842 Å, b = 3.692 Å, c = 5.211 Å, α = 90.00°, β = 90.12° and γ = 90.00°. Symmetry generates all atoms from Sc at (0.000, 0.000, 0.000), Si at (0.197, 0.500, 0.071) and Br at (0.000, 0.500, 0.500).

Entry two
Material: ScSi2Br
Method: DFT, SCAN
State: single point on PBEsol structure

It has space group Immm (No. 71), with a = 3.197 Å, b = 4.245 Å, c = 11.156 Å, α = 90.00°, β = 90.00° and γ = 90.00°. Symmetry generates all atoms from Sc at (0.000, 0.000, 0.000), Si at (0.000, 0.500, 0.279) and Br at (0.000, 0.000, 0.500).

Entry three
Material: ScSi2Br
Method: DFT, SCAN
State: single point on PBEsol structure

It has space group P4/mmm (No. 123), with a = 4.942 Å, b = 4.942 Å, c = 3.087 Å, α = 90.00°, β = 90.00° and γ = 90.00°. Symmetry generates all atoms from Sc at (0.000, 0.000, 0.000), Si at (0.000, 0.500, 0.500) and Br at (0.500, 0.500, 0.000).

Entry four
Material: ScSi2Br
Method: DFT, SCAN
State: single point on PBEsol structure

It has space group P4mm (No. 99), with a = 3.221 Å, b = 3.221 Å, c = 7.618 Å, α = 90.00°, β = 90.00° and γ = 90.00°. Symmetry generates all atoms from Sc at (0.000, 0.000, 0.000), Si at (0.000, 0.000, 0.612), Si at (0.500, 0.500, 0.763) and Br at (0.500, 0.500, 0.219).

List of relative energies, unit eV/atom: entry one 0.058; entry two 0.209; entry three 0.497; entry four 0.000